Computed, not measured: a relaxed BeAgSb crystal at the PBE level of DFT.

Computed properties:
DOS(E_F)	2.6	states/eV/cell
space group	No. 194
energy	-2.98	eV/atom
ρ	5.830	g/cm³
magnetization	0.00	Bohr magnetons per cell
E_form (uncorrected)	171	kJ/mol of formula units

Cell and atoms, written as POSCAR:
```
BeAgSb
1.0
4.204 0.000 0.000
-2.102 3.640 0.000
0.000 0.000 8.883
Be Ag Sb
2 2 2
Direct
0.000 0.000 0.250
0.000 0.000 0.750
0.333 0.667 0.250
0.667 0.333 0.750
0.000 0.000 0.000
0.000 0.000 0.500
```